1.
Tb2AlSnPd4: relaxed, PBE-GGA.

Results
SG: P-3m1 (164)
size of the total moment: 0.0 μB per formula unit
total energy: -5.613 eV/atom

Cell lengths 4.506, 4.506, 9.021 Å; angles 90.00, 90.00, 120.00 degrees
Fractional positions:
Tb: 0.333 0.667 0.254
Tb: 0.667 0.333 0.746
Al: 0.000 0.000 0.500
Sn: 0.000 0.000 0.000
Pd: 0.333 0.667 0.577
Pd: 0.333 0.667 0.911
Pd: 0.667 0.333 0.089
Pd: 0.667 0.333 0.423

2.
SrAl2Pd2: relaxed, PBE-GGA.

Results
SG: I4/mmm (139)
total energy: -4.613 eV/atom

Cell lengths 6.092, 6.092, 6.092 Å; angles 137.57, 137.57, 61.56 degrees
Fractional positions:
Sr: 0.000 0.000 0.000
Al: 0.366 0.366 0.000
Al: 0.634 0.634 0.000
Pd: 0.250 0.750 0.500
Pd: 0.750 0.250 0.500

3.
SrAl2Pd2: relaxed, PBE-GGA.

Results
SG: I4/mmm (139)
total energy: -4.646 eV/atom

Cell lengths 6.414, 6.414, 6.414 Å; angles 141.63, 141.63, 55.39 degrees
Fractional positions:
Sr: 0.000 0.000 0.000
Al: 0.250 0.750 0.500
Al: 0.750 0.250 0.500
Pd: 0.374 0.374 0.000
Pd: 0.626 0.626 0.000

4.
SrTbAl4Pd2: relaxed, PBE-GGA.

Results
SG: Amm2 (38)
size of the total moment: 0.0 μB per formula unit
total energy: -4.619 eV/atom

Cell lengths 7.255, 5.651, 5.651 Å; angles 44.50, 90.00, 90.00 degrees
Fractional positions:
Sr: 0.000 0.000 0.000
Tb: 0.500 0.875 0.875
Al: 0.200 0.283 0.283
Al: 0.312 0.594 0.594
Al: 0.688 0.594 0.594
Al: 0.800 0.283 0.283
Pd: 0.000 0.722 0.722
Pd: 0.500 0.153 0.153

5.
SrYAl4Pd2: relaxed, PBE-GGA.

Results
SG: Amm2 (38)
size of the total moment: 0.0 μB per formula unit
total energy: -4.854 eV/atom

Cell lengths 7.246, 5.656, 5.656 Å; angles 44.40, 90.00, 90.00 degrees
Fractional positions:
Sr: 0.000 0.000 0.000
Y: 0.500 0.875 0.875
Al: 0.200 0.283 0.283
Al: 0.312 0.594 0.594
Al: 0.688 0.594 0.594
Al: 0.800 0.283 0.283
Pd: 0.000 0.722 0.722
Pd: 0.500 0.154 0.154

6.
TaAl2Pd: relaxed, PBE-GGA.

Results
SG: I4/mmm (139)
size of the total moment: 0.4 μB per formula unit
total energy: -6.344 eV/atom

Cell lengths 4.615, 4.615, 4.615 Å; angles 125.72, 125.72, 80.34 degrees
Fractional positions:
Ta: 0.000 0.000 0.000
Al: 0.250 0.750 0.500
Al: 0.750 0.250 0.500
Pd: 0.500 0.500 0.000

7.
TaAl2Pd5: relaxed, PBE-GGA.

Results
SG: I4/mmm (139)
size of the total moment: 0.2 μB per formula unit
total energy: -6.297 eV/atom

Cell lengths 7.863, 7.863, 7.863 Å; angles 150.22, 150.22, 42.62 degrees
Fractional positions:
Ta: 0.000 0.000 0.000
Al: 0.254 0.254 0.000
Al: 0.746 0.746 0.000
Pd: 0.133 0.633 0.500
Pd: 0.367 0.867 0.500
Pd: 0.500 0.500 0.000
Pd: 0.633 0.133 0.500
Pd: 0.867 0.367 0.500

8.
TaAlPd2: relaxed, PBE-GGA.

Results
SG: F-43m (216)
size of the total moment: 0.0 μB per formula unit
total energy: -6.823 eV/atom

Cell lengths 4.450, 4.450, 4.450 Å; angles 60.00, 60.00, 60.00 degrees
Fractional positions:
Ta: 0.000 0.000 0.000
Al: 0.750 0.750 0.750
Pd: 0.250 0.250 0.250
Pd: 0.500 0.500 0.500

9.
TaAlPd2: relaxed, PBE-GGA.

Results
SG: I4/mmm (139)
size of the total moment: 0.0 μB per formula unit
total energy: -6.939 eV/atom

Cell lengths 4.763, 4.763, 4.763 Å; angles 129.65, 129.65, 73.97 degrees
Fractional positions:
Ta: 0.000 0.000 0.000
Al: 0.500 0.500 0.000
Pd: 0.250 0.750 0.500
Pd: 0.750 0.250 0.500

10.
TbAlPd: relaxed, PBE-GGA.

Results
SG: P-62m (189)
size of the total moment: 0.0 μB per formula unit
total energy: -5.230 eV/atom

Cell lengths 6.923, 6.923, 4.305 Å; angles 90.00, 90.00, 120.00 degrees
Fractional positions:
Tb: 0.000 0.563 0.000
Tb: 0.437 0.437 0.000
Tb: 0.563 0.000 0.000
Al: 0.000 0.000 0.000
Al: 0.333 0.667 0.500
Al: 0.667 0.333 0.500
Pd: 0.000 0.243 0.500
Pd: 0.243 0.000 0.500
Pd: 0.757 0.757 0.500

11.
TbAlPd: relaxed, PBE-GGA.

Results
SG: P-62m (189)
size of the total moment: 0.0 μB per formula unit
total energy: -4.890 eV/atom

Cell lengths 8.088, 8.088, 3.131 Å; angles 90.00, 90.00, 120.00 degrees
Fractional positions:
Tb: 0.000 0.295 0.000
Tb: 0.295 0.000 0.000
Tb: 0.705 0.705 0.000
Al: 0.000 0.000 0.500
Al: 0.333 0.667 0.000
Al: 0.667 0.333 0.000
Pd: 0.000 0.618 0.500
Pd: 0.382 0.382 0.500
Pd: 0.618 0.000 0.500

12.
TbAlPd: relaxed, PBE-GGA.

Results
SG: Pnma (62)
size of the total moment: 0.0 μB per formula unit
total energy: -5.396 eV/atom

Cell lengths 6.924, 4.437, 7.789 Å; angles 90.00, 90.00, 90.00 degrees
Fractional positions:
Tb: 0.031 0.250 0.183
Tb: 0.469 0.750 0.683
Tb: 0.531 0.250 0.317
Tb: 0.969 0.750 0.817
Al: 0.147 0.250 0.564
Al: 0.353 0.750 0.064
Al: 0.647 0.250 0.936
Al: 0.853 0.750 0.436
Pd: 0.227 0.750 0.386
Pd: 0.273 0.250 0.886
Pd: 0.727 0.750 0.114
Pd: 0.773 0.250 0.614

13.
TbAlPd: relaxed, PBE-GGA.

Results
SG: P-62m (189)
size of the total moment: 0.0 μB per formula unit
total energy: -5.388 eV/atom

Cell lengths 7.140, 7.140, 4.078 Å; angles 90.00, 90.00, 120.00 degrees
Fractional positions:
Tb: 0.000 0.584 0.000
Tb: 0.416 0.416 0.000
Tb: 0.584 0.000 0.000
Al: 0.000 0.237 0.500
Al: 0.237 0.000 0.500
Al: 0.763 0.763 0.500
Pd: 0.000 0.000 0.000
Pd: 0.333 0.667 0.500
Pd: 0.667 0.333 0.500

14.
TbTmAl4Pd2: relaxed, PBE-GGA.

Results
SG: Amm2 (38)
size of the total moment: 0.0 μB per formula unit
total energy: -5.097 eV/atom

Cell lengths 6.939, 5.518, 5.518 Å; angles 45.68, 90.00, 90.00 degrees
Fractional positions:
Tb: 0.000 0.000 0.000
Tm: 0.500 0.144 0.144
Al: 0.198 0.712 0.712
Al: 0.304 0.431 0.431
Al: 0.696 0.431 0.431
Al: 0.802 0.712 0.712
Pd: 0.000 0.283 0.283
Pd: 0.500 0.862 0.862

15.
TbYAl4Pd2: relaxed, PBE-GGA.

Results
SG: Amm2 (38)
size of the total moment: 0.0 μB per formula unit
total energy: -5.349 eV/atom

Cell lengths 6.952, 5.556, 5.556 Å; angles 45.51, 90.00, 90.00 degrees
Fractional positions:
Tb: 0.000 0.000 0.000
Y: 0.500 0.144 0.144
Al: 0.197 0.714 0.714
Al: 0.304 0.429 0.429
Al: 0.696 0.429 0.429
Al: 0.803 0.714 0.714
Pd: 0.000 0.281 0.281
Pd: 0.500 0.862 0.862

16.
TbZrAl2Pd4: relaxed, PBE-GGA.

Results
SG: P-6m2 (187)
size of the total moment: 0.0 μB per formula unit
total energy: -6.045 eV/atom

Cell lengths 4.345, 4.345, 8.902 Å; angles 90.00, 90.00, 120.00 degrees
Fractional positions:
Tb: 0.000 0.000 0.000
Zr: 0.333 0.667 0.500
Al: 0.667 0.333 0.263
Al: 0.667 0.333 0.737
Pd: 0.000 0.000 0.341
Pd: 0.000 0.000 0.659
Pd: 0.333 0.667 0.176
Pd: 0.333 0.667 0.824

17.
AlTcPd2: relaxed, PBE-GGA.

Results
SG: F-43m (216)
size of the total moment: 1.4 μB per formula unit
total energy: -6.309 eV/atom

Cell lengths 4.375, 4.375, 4.375 Å; angles 60.00, 60.00, 60.00 degrees
Fractional positions:
Al: 0.000 0.000 0.000
Tc: 0.250 0.250 0.250
Pd: 0.500 0.500 0.500
Pd: 0.750 0.750 0.750

18.
AlTcPd: relaxed, PBE-GGA.

Results
SG: F-43m (216)
size of the total moment: 2.0 μB per formula unit
total energy: -6.241 eV/atom

Cell lengths 4.188, 4.188, 4.188 Å; angles 60.00, 60.00, 60.00 degrees
Fractional positions:
Al: 0.000 0.000 0.000
Tc: 0.500 0.500 0.500
Pd: 0.250 0.250 0.250

19.
AlTePd: relaxed, PBE-GGA.

Results
SG: F-43m (216)
total energy: -3.954 eV/atom

Cell lengths 4.592, 4.592, 4.592 Å; angles 60.00, 60.00, 60.00 degrees
Fractional positions:
Al: 0.000 0.000 0.000
Te: 0.250 0.250 0.250
Pd: 0.500 0.500 0.500

20.
Al2TlPd5: relaxed, PBE-GGA.

Results
SG: I4/mmm (139)
total energy: -5.103 eV/atom

Cell lengths 7.956, 7.956, 7.956 Å; angles 149.95, 149.95, 43.02 degrees
Fractional positions:
Al: 0.247 0.247 0.000
Al: 0.753 0.753 0.000
Tl: 0.500 0.500 0.000
Pd: 0.000 0.000 0.000
Pd: 0.144 0.644 0.500
Pd: 0.356 0.856 0.500
Pd: 0.644 0.144 0.500
Pd: 0.856 0.356 0.500